Entry 1:
A plane-wave DFT calculation with SCAN was carried out for AlZnFe3 at its PBEsol-relaxed geometry.

```
AlZnFe3
1.0
4.2853 0.0000 0.0000
0.0000 4.2853 0.0000
0.0000 0.0000 4.2853
Al Zn Fe
1 1 3
Direct
0.0000 0.0000 0.0000
0.5000 0.5000 0.5000
0.0000 0.5000 0.5000
0.5000 0.0000 0.5000
0.5000 0.5000 0.0000
```

Output
SG: No. 221
Volume: 15.74 A^3/atom
Total energy: -70.67 eV for the cell shown
Total magnetic moment: 8.28 μB/f.u.

Entry 2:
A plane-wave DFT calculation with SCAN was carried out for LiBe2W at its PBEsol-relaxed geometry.

```
LiBe2W
1.0
0.0000 2.7665 2.7665
2.7665 0.0000 2.7665
2.7665 2.7665 0.0000
Li Be W
1 2 1
Direct
0.0000 0.0000 0.0000
0.2500 0.2500 0.2500
0.5000 0.5000 0.5000
0.7500 0.7500 0.7500
```

Output
SG: No. 216
Volume: 10.59 A^3/atom
Total energy: -78.29 eV for the cell shown
Total magnetic moment: 1.14 μB/f.u.